{"formula": "Ba4Si3Br2", "functional": "PBEsol", "state": "optimized geometry", "e_tot_ev_per_cell": -156.17, "lattice_angstrom": [[-7.315, 4.756, -0.873], [-1.788, -4.129, -7.511], [-4.935, -11.834, 7.680]], "species": ["Br", "Si", "Br", "Si", "Si", "Ba", "Si", "Si", "Si", "Br", "Si", "Ba", "Ba", "Br", "Ba", "Br", "Ba", "Ba", "Si", "Ba", "Ba", "Ba", "Si", "Si", "Br", "Br", "Ba", "Ba", "Ba", "Ba", "Br", "Si", "Ba", "Ba", "Ba", "Si"], "frac_coords": [[0.133, 0.861, 0.492], [0.505, 0.432, 0.814], [0.367, 0.361, 0.508], [0.804, 0.135, 0.199], [0.240, 0.565, 0.089], [0.872, 0.558, 0.147], [0.495, 0.568, 0.186], [0.005, 0.068, 0.814], [0.304, 0.365, 0.199], [0.052, 0.493, 0.634], [0.196, 0.865, 0.801], [0.734, 0.337, 0.668], [0.978, 0.787, 0.956], [0.867, 0.139, 0.508], [0.766, 0.837, 0.332], [0.948, 0.507, 0.366], [0.620, 0.323, 0.350], [0.628, 0.058, 0.853], [0.995, 0.932, 0.186], [0.880, 0.823, 0.650], [0.266, 0.663, 0.332], [0.478, 0.713, 0.956], [0.696, 0.635, 0.801], [0.740, 0.935, 0.089], [0.552, 0.007, 0.634], [0.633, 0.639, 0.492], [0.128, 0.442, 0.853], [0.022, 0.213, 0.044], [0.372, 0.942, 0.147], [0.120, 0.177, 0.350], [0.448, 0.993, 0.366], [0.760, 0.435, 0.911], [0.380, 0.677, 0.650], [0.234, 0.163, 0.668], [0.522, 0.287, 0.044], [0.260, 0.065, 0.911]]}

---

{"formula": "TlCdPb2", "functional": "PBEsol", "state": "optimized geometry", "ef_ev_per_fu": 0.19, "de_polymorph_ev_per_atom": 0.0214, "lattice_angstrom": [[-4.459, -0.556, -1.641], [1.700, -0.530, -4.440], [1.712, -4.160, 3.730]], "species": ["Tl", "Pb", "Pb", "Cd"], "frac_coords": [[0.500, 0.500, 0.000], [0.250, 0.750, 0.500], [0.750, 0.250, 0.500], [0.000, 0.000, 0.000]]}

---

{"formula": "Cd2BSb", "functional": "PBEsol", "state": "optimized geometry", "de_polymorph_ev_per_atom": 0.0000, "lattice_angstrom": [[-1.030, 2.804, 3.912], [-5.532, 2.788, -0.358], [-2.934, -3.069, 4.524]], "species": ["Cd", "Sb", "Sb", "Cd", "Cd", "B", "Cd", "B"], "frac_coords": [[0.375, 0.101, 0.399], [0.000, 0.000, 0.000], [0.750, 0.500, 0.500], [0.226, 0.399, 0.899], [0.524, 0.601, 0.101], [0.250, 0.500, 0.500], [0.875, 0.899, 0.601], [0.500, 0.000, 0.000]]}

---

{"formula": "KFeSb2Te", "functional": "PBEsol", "state": "optimized geometry", "e_tot_ev_per_cell": -22.46, "lattice_angstrom": [[4.831, 0.000, 0.000], [0.000, 4.831, 0.000], [0.000, 0.000, 5.820]], "species": ["Sb", "Fe", "K", "Sb", "Te"], "frac_coords": [[0.500, 0.000, 0.000], [0.000, 0.000, 0.000], [0.500, 0.500, 0.500], [0.000, 0.500, 0.000], [0.000, 0.000, 0.500]]}